# 1
A plane-wave DFT calculation with PBE-GGA was carried out for crystalline Tb8Ho2Th at its relaxed geometry.

CIF file:
```
data_Tb8Ho2Th
_space_group_name_H-M_alt 'C 1 2/m 1'
_space_group_IT_number 12
_cell_length_a 19.2042
_cell_length_b 6.8465
_cell_length_c 5.5589
_cell_angle_alpha 90.00
_cell_angle_beta 93.54
_cell_angle_gamma 90.00
loop_
_space_group_symop_operation_xyz
'x,y,z'
'-x,-y,-z'
'-x,y,-z'
'x,-y,z'
'x+1/2,y+1/2,z'
'-x+1/2,-y+1/2,-z'
'-x+1/2,y+1/2,-z'
'x+1/2,-y+1/2,z'
loop_
_atom_site_label
_atom_site_type_symbol
_atom_site_fract_x
_atom_site_fract_y
_atom_site_fract_z
Tb1 Tb 0.0474 0.0000 0.2339
Tb2 Tb 0.1315 0.2374 0.7293
Tb3 Tb 0.1857 0.5000 0.2266
Ho1 Ho 0.2170 0.0000 0.2534
Th1 Th 0.0000 0.5000 0.0000
```

Output
spin magnetization	0.00	μB per formula unit
calculated formation energy	185.5	meV per atom
ΔE to the lowest computed polymorph	0.08	eV/f.u.
VASP energy	-4.689	eV per atom



# 2
A plane-wave DFT calculation with PBE-GGA was carried out for crystalline PmPd6Au at its relaxed geometry.

CIF file:
```
data_PmPd6Au
_space_group_name_H-M_alt 'P 4/m m m'
_space_group_IT_number 123
_space_group_name_Hall '-P 4 2'
_cell_length_a 5.7456
_cell_length_b 5.7456
_cell_length_c 4.1626
_cell_angle_alpha 90.00
_cell_angle_beta 90.00
_cell_angle_gamma 90.00
loop_
_atom_site_label
_atom_site_type_symbol
_atom_site_fract_x
_atom_site_fract_y
_atom_site_fract_z
Pm1 Pm 0.0000 0.0000 0.0000
Pd1 Pd 0.0000 0.5000 0.0000
Pd2 Pd 0.2571 0.2571 0.5000
Au1 Au 0.5000 0.5000 0.0000
```

Output
spin magnetization	0.00	μB per formula unit
calculated formation energy	-402.8	meV per atom
ΔE to the lowest computed polymorph	0.00	eV/f.u.
VASP energy	-5.301	eV per atom



# 3
A plane-wave DFT calculation with PBE-GGA was carried out for crystalline KOsBr2 at its relaxed geometry.

CIF file:
```
data_KOsBr2
_space_group_name_H-M_alt 'R -3 m'
_space_group_IT_number 166
_space_group_name_Hall '-R 3 2"'
_cell_length_a 4.2509
_cell_length_b 4.2509
_cell_length_c 19.3129
_cell_angle_alpha 90.00
_cell_angle_beta 90.00
_cell_angle_gamma 120.00
loop_
_atom_site_label
_atom_site_type_symbol
_atom_site_fract_x
_atom_site_fract_y
_atom_site_fract_z
K1 K 0.0000 0.0000 0.0000
Os1 Os 0.0000 0.0000 0.5000
Br1 Br 0.0000 0.0000 0.2220
```

Output
spin magnetization	1.00	μB per formula unit
ΔE to the lowest computed polymorph	0.70	eV/f.u.
formation energy from raw total energies	0.221	eV per atom
VASP energy	-3.697	eV per atom



# 4
A plane-wave DFT calculation with PBE-GGA was carried out for crystalline SrSb2Cl at its relaxed geometry.

CIF file:
```
data_SrSb2Cl
_space_group_name_H-M_alt 'R 3 m'
_space_group_IT_number 160
_space_group_name_Hall 'R 3 -2"'
_cell_length_a 4.6832
_cell_length_b 4.6832
_cell_length_c 23.6585
_cell_angle_alpha 90.00
_cell_angle_beta 90.00
_cell_angle_gamma 120.00
loop_
_atom_site_label
_atom_site_type_symbol
_atom_site_fract_x
_atom_site_fract_y
_atom_site_fract_z
Sr1 Sr 0.0000 0.0000 0.0000
Sb1 Sb 0.0000 0.0000 0.2403
Sb2 Sb 0.0000 0.0000 0.5248
Cl1 Cl 0.0000 0.0000 0.7160
```

Output
spin magnetization	0.00	μB per formula unit
ΔE to the lowest computed polymorph	0.29	eV/f.u.
formation energy from raw total energies	-0.965	eV per atom
VASP energy	-3.908	eV per atom